# 1
# VAsP (PBE, optimized geometry)
# Excess energy over the best structure of this formula in the dataset: 0 meV per atom
# Calculated formation energy: -0.785 eV per formula unit
# Total magnetization: 0.00 μB/f.u.
# VASP energy: -6.65 eV per atom
data_VAsP
_symmetry_space_group_name_H-M 'P 3 m 1'
_symmetry_Int_Tables_number 156
_symmetry_space_group_name_Hall 'P 3 -2"'
_cell_length_a 3.3478
_cell_length_b 3.3478
_cell_length_c 5.2604
_cell_angle_alpha 90.00
_cell_angle_beta 90.00
_cell_angle_gamma 120.00
loop_
_atom_site_label
_atom_site_fract_x
_atom_site_fract_y
_atom_site_fract_z
_atom_site_occupancy
V1 0.0000 0.0000 0.0000 1
As1 0.3333 0.6667 0.7032 1
P1 0.3333 0.6667 0.2627 1

=====

# 2
# Nd2PaRh3 (PBE, optimized geometry)
# Excess energy over the best structure of this formula in the dataset: 0 meV per atom
# Calculated formation energy: -4.260 eV per formula unit
# Total magnetization: 0.00 μB/f.u.
# VASP energy: -7.56 eV per atom
data_Nd2PaRh3
_symmetry_space_group_name_H-M 'C 1 2/m 1'
_symmetry_Int_Tables_number 12
_symmetry_space_group_name_Hall '-C 2y'
_cell_length_a 7.888
_cell_length_b 13.648
_cell_length_c 5.779
_cell_angle_alpha 90.00
_cell_angle_beta 117.11
_cell_angle_gamma 90.00
loop_
_atom_site_label
_atom_site_fract_x
_atom_site_fract_y
_atom_site_fract_z
_atom_site_occupancy
Nd1 0.000 0.000 0.000 1
Nd2 0.000 0.165 0.500 1
Nd3 0.000 0.500 0.500 1
Pa1 0.000 0.333 0.000 1
Rh1 0.204 0.500 0.159 1
Rh2 0.228 0.175 0.160 1